(1)
Density functional theory data (meta-GGA SCAN) for a crystal of PrCu6 relaxed with PBEsol.

Structure (extended XYZ):
```
28
Lattice="-0.4028 -4.0451 -2.9313 7.0248 1.7223 -3.3420 4.6402 -5.4825 6.9280" Properties=species:S:1:pos:R:3 pbc="T T T"
Cu 1.6044 -1.5414 -0.2356
Cu 3.7387 -2.3013 -1.5789
Cu 7.5235 -5.5039 2.2335
Cu 9.6577 -6.2639 0.8901
Cu 6.7254 -1.9528 -4.6560
Cu 7.9954 -0.1050 -0.9973
Cu 3.2667 -7.7003 1.6519
Cu 5.5911 -4.5457 3.3625
Cu 2.6315 -5.5159 0.8235
Cu 9.1527 -3.7428 1.7650
Cu 3.9763 -2.0936 -4.0839
Cu 7.3262 -7.4855 0.7976
Cu 5.1545 -5.9543 1.0818
Cu 2.1094 -4.0625 -1.1104
Cu 7.7981 -2.0865 -2.4332
Cu 4.5368 -5.8525 5.3106
Cu 8.6306 -2.2894 -0.1689
Cu 7.2858 -5.7117 4.7385
Cu 3.4641 -5.7188 3.0878
Cu 3.9360 -0.3198 -0.1430
Cu 6.6290 -3.3133 1.5191
Cu 5.6710 -3.2595 -2.7079
Cu 4.6332 -4.4920 -0.8645
Cu 6.1076 -1.8510 -0.4272
Pr 3.7544 -2.9554 1.4203
Pr 5.7256 -7.7554 3.4888
Pr 7.5077 -4.8498 -0.7657
Pr 5.5365 -0.0499 -2.8342
```

Summary:
Formation energy: -0.86 eV/f.u.
Space group: No. 62

(2)
Density functional theory data (meta-GGA SCAN) for a crystal of MgHgSb2 relaxed with PBEsol.

Structure (extended XYZ):
```
4
Lattice="4.3899 0.0000 0.0000 0.0000 4.3899 0.0000 0.0000 0.0000 5.1083" Properties=species:S:1:pos:R:3 pbc="T T T"
Sb 0.0000 2.1949 0.0000
Sb 2.1949 0.0000 0.0000
Mg 0.0000 0.0000 2.5542
Hg 2.1949 2.1949 2.5542
```

Summary:
Space group: No. 123
Energy relative to the elements, uncorrected: 0.01 eV/atom
Polymorph energy (0 for the lowest one): 70 meV/atom

(3)
Density functional theory data (meta-GGA SCAN) for a crystal of Sr2ScGaHg relaxed with PBEsol.

Structure (extended XYZ):
```
5
Lattice="-3.6600 -1.9544 -2.5825 -3.0577 -1.0666 5.1406 -2.6193 5.4656 -0.4240" Properties=species:S:1:pos:R:3 pbc="T T T"
Sr -1.5288 -0.5333 2.5703
Sr -1.3097 2.7328 -0.2120
Ga -1.8300 -0.9772 -1.2913
Hg 0.0000 0.0000 0.0000
Sc -4.6685 1.2223 1.0671
```

Summary:
Formation energy: 0.89 eV/f.u.
Space group: No. 123

(4)
Density functional theory data (meta-GGA SCAN) for a crystal of TaBeAg2 relaxed with PBEsol.

Structure (extended XYZ):
```
4
Lattice="2.7038 0.0000 -0.0013 0.0000 4.2676 0.0000 -1.1171 0.0000 5.2053" Properties=species:S:1:pos:R:3 pbc="T T T"
Ta -0.5585 2.1338 2.6026
Be 1.3519 2.1338 -0.0007
Ag 0.6884 0.0000 1.2138
Ag 0.8983 0.0000 3.9901
```

Summary:
Formation energy: 1.38 eV/f.u.
Space group: No. 10

(5)
Density functional theory data (meta-GGA SCAN) for a crystal of In2AsRh relaxed with PBEsol.

Structure (extended XYZ):
```
4
Lattice="3.6260 0.0000 -0.0091 0.0000 3.3462 0.0000 -0.4778 0.0000 6.0786" Properties=species:S:1:pos:R:3 pbc="T T T"
As 1.5741 1.6731 3.0347
In 3.2450 0.0000 4.6334
In -0.0967 0.0000 1.4361
Rh 1.8130 1.6731 -0.0046
```

Summary:
Formation energy: 0.05 eV/f.u.
Space group: No. 10

(6)
Density functional theory data (meta-GGA SCAN) for a crystal of PIrRu2 relaxed with PBEsol.

Structure (extended XYZ):
```
4
Lattice="2.7456 0.0000 0.0000 1.3728 2.3778 0.0000 1.3728 0.7926 8.0031" Properties=species:S:1:pos:R:3 pbc="T T T"
P 0.0000 0.0000 0.0000
Ru 4.1184 2.3778 6.2168
Ru 1.3728 0.7926 1.7863
Ir 2.7456 1.5852 4.0016
```

Summary:
Formation energy: -0.60 eV/f.u.
Space group: No. 166

(7)
Density functional theory data (meta-GGA SCAN) for a crystal of BaIr2W relaxed with PBEsol.

Structure (extended XYZ):
```
4
Lattice="-1.4470 -3.9339 0.8436 4.2048 0.6989 -0.3637 -1.9473 2.0131 6.0474" Properties=species:S:1:pos:R:3 pbc="T T T"
Ba 0.5556 -2.0779 2.0986
W -1.6193 -0.6932 4.8253
Ir 0.7458 -1.3933 5.6171
Ir 0.2418 0.7601 3.9592
```

Summary:
Formation energy: 0.38 eV/f.u.
Space group: No. 8
Polymorph energy (0 for the lowest one): 0 meV/atom

(8)
Density functional theory data (meta-GGA SCAN) for a crystal of NbCuBiBr2 relaxed with PBEsol.

Structure (extended XYZ):
```
5
Lattice="5.5345 0.0000 0.0000 0.0000 5.5345 0.0000 0.0000 0.0000 5.7542" Properties=species:S:1:pos:R:3 pbc="T T T"
Nb 0.0000 0.0000 2.8771
Br 2.7672 0.0000 0.0000
Br 0.0000 2.7672 0.0000
Bi 0.0000 0.0000 0.0000
Cu 2.7672 2.7672 2.8771
```

Summary:
Space group: No. 123
Energy relative to the elements, uncorrected: 1.14 eV/atom

(9)
Density functional theory data (meta-GGA SCAN) for a crystal of CsYC2 relaxed with PBEsol.

Structure (extended XYZ):
```
4
Lattice="-3.5286 -1.8240 -2.4460 -3.3501 -2.4061 2.1790 -4.2856 1.8001 0.3919" Properties=species:S:1:pos:R:3 pbc="T T T"
C -2.7911 -0.6075 0.0312
C -8.3733 -1.8225 0.0937
Y 0.0000 0.0000 0.0000
Cs -5.5822 -1.2150 0.0625
```

Summary:
Formation energy: 8.12 eV/f.u.
Space group: No. 225

(10)
Density functional theory data (meta-GGA SCAN) for a crystal of CrFeMo3 relaxed with PBEsol.

Structure (extended XYZ):
```
5
Lattice="-3.7145 -2.2624 0.3800 2.1311 -3.1351 2.1657 -0.8494 2.0281 3.7718" Properties=species:S:1:pos:R:3 pbc="T T T"
Cr 0.0000 0.0000 0.0000
Mo 1.0655 -1.5676 1.0828
Mo -0.4247 1.0140 1.8859
Mo -1.8573 -1.1312 0.1900
Fe -1.2164 -1.6847 3.1587
```

Summary:
Formation energy: 6.77 eV/f.u.
Space group: No. 221

(11)
Density functional theory data (meta-GGA SCAN) for a crystal of CaCdRu2 relaxed with PBEsol.

Structure (extended XYZ):
```
4
Lattice="-2.4412 -1.3921 0.7016 2.5293 -2.9663 -3.0638 2.1570 -1.4521 4.6238" Properties=species:S:1:pos:R:3 pbc="T T T"
Cd -1.2206 -0.6961 0.3508
Ru 1.1934 -3.7598 2.6711
Ru 1.0517 -2.0507 -0.4095
Ca 1.0785 -0.7260 2.3119
```

Summary:
Formation energy: 1.74 eV/f.u.
Space group: No. 12

(12)
Density functional theory data (meta-GGA SCAN) for a crystal of FeNi relaxed with PBEsol.

Structure (extended XYZ):
```
2
Lattice="-1.9249 1.5145 0.2528 -0.9084 -0.7963 -2.1456 -1.7773 -2.5419 1.6958" Properties=species:S:1:pos:R:3 pbc="T T T"
Ni -2.3053 -0.9118 -0.0985
Fe 0.0000 0.0000 0.0000
```

Summary:
Formation energy: -0.31 eV/f.u.
Space group: No. 123

Results for Fermi-level density of states: 2.65 1.91 5.80 1.58 1.62 2.21 3.05 1.80 2.76 3.53 3.01 1.22 (in states/eV/f.u., following the order of the records).